First-principles (GGA-PBE) data for a relaxed Pu2Ga9Co3 crystal, as listed in the Alexandria database.

The structure in POSCAR format:
```
Pu2Ga9Co3
1.0
-5.462 -3.242 3.833
3.742 -3.842 -5.125
8.591 0.733 5.750
Pu Ga Co
4 18 6
direct
0.334 0.249 0.750
0.666 0.751 0.250
0.999 0.585 0.750
0.001 0.415 0.250
0.452 0.917 0.749
0.548 0.083 0.251
0.668 0.703 0.751
0.332 0.297 0.249
0.452 0.643 0.929
0.548 0.357 0.071
0.214 0.523 0.571
0.786 0.477 0.429
0.883 0.133 0.750
0.117 0.867 0.250
0.128 0.981 0.940
0.872 0.019 0.060
0.541 0.188 0.560
0.459 0.812 0.440
0.880 0.858 0.571
0.120 0.142 0.429
0.786 0.308 0.929
0.214 0.692 0.071
0.500 0.000 0.000
0.500 0.500 0.500
0.838 0.169 0.499
0.162 0.831 0.501
0.170 0.338 0.001
0.830 0.662 0.999
```

energy	-82.12	eV/f.u.
space group	C2/c, No. 15
formation enthalpy at 0 K	-0.3496	eV/atom